K3TaO | GGA-PBEsol | optimized geometry

Summary:
The energy relative to the elements, uncorrected is 728.5 meV per atom. As for the energy: -17.56 eV/cell. Its symmetry is No. 221.

Lattice parameters (Å, degrees): 5.347 5.347 5.347 90.00 90.00 90.00
Sites, in units of the cell vectors:
K: 0.000 0.500 0.000
K: 0.000 0.000 0.500
K: 0.500 0.000 0.000
O: 0.000 0.000 0.000
Ta: 0.500 0.500 0.500

K2Ta15O32 | GGA-PBEsol | optimized geometry

Summary:
The energy relative to the elements, uncorrected is -2695.0 meV per atom. As for the energy: -490.57 eV/cell. Its symmetry is No. 148.

Lattice parameters (Å, degrees): 7.776 7.776 12.769 72.27 72.27 60.00
Sites, in units of the cell vectors:
K: 0.859 0.859 0.423
K: 0.141 0.141 0.577
Ta: 0.500 0.500 0.500
Ta: 0.429 0.974 0.299
Ta: 0.974 0.298 0.299
Ta: 0.298 0.429 0.299
Ta: 0.571 0.026 0.701
Ta: 0.026 0.702 0.701
Ta: 0.702 0.571 0.701
Ta: 0.945 0.771 0.097
Ta: 0.771 0.186 0.097
Ta: 0.186 0.945 0.097
Ta: 0.055 0.229 0.903
Ta: 0.229 0.814 0.903
Ta: 0.814 0.055 0.903
Ta: 0.637 0.637 0.088
Ta: 0.363 0.363 0.912
O: 0.540 0.736 0.404
O: 0.736 0.321 0.404
O: 0.321 0.540 0.404
O: 0.460 0.264 0.596
O: 0.264 0.679 0.596
O: 0.679 0.460 0.596
O: 0.446 0.151 0.373
O: 0.151 0.031 0.373
O: 0.031 0.446 0.373
O: 0.554 0.849 0.627
O: 0.849 0.969 0.627
O: 0.969 0.554 0.627
O: 0.263 0.263 0.211
O: 0.737 0.737 0.789
O: 0.699 0.962 0.199
O: 0.962 0.141 0.199
O: 0.141 0.699 0.199
O: 0.571 0.263 0.000
O: 0.166 0.571 0.000
O: 0.263 0.166 0.000
O: 0.429 0.737 0.000
O: 0.834 0.429 0.000
O: 0.737 0.834 0.000
O: 0.572 0.156 0.815
O: 0.457 0.572 0.815
O: 0.156 0.457 0.815
O: 0.428 0.844 0.185
O: 0.543 0.428 0.185
O: 0.844 0.543 0.185
O: 0.859 0.301 0.801
O: 0.038 0.859 0.801
O: 0.301 0.038 0.801